(1)
# PrZnSi2Ni (PBE, optimized geometry)
data_PrZnSi2Ni
_cell_length_a 4.0876
_cell_length_b 4.0876
_cell_length_c 10.1252
_cell_angle_alpha 90.00
_cell_angle_beta 90.00
_cell_angle_gamma 90.00
_symmetry_space_group_name_H-M 'I -4 m 2'
_symmetry_Int_Tables_number 119
_symmetry_space_group_name_Hall 'I -4 -2'
loop_
_atom_site_label
_atom_site_type_symbol
_atom_site_fract_x
_atom_site_fract_y
_atom_site_fract_z
Pr1 Pr 0.0000 0.0000 0.0000
Zn1 Zn 0.0000 0.5000 0.7500
Si1 Si 0.0000 0.0000 0.3792
Ni1 Ni 0.0000 0.5000 0.2500
# calculated density = 6.3 g/cm3
# total DFT energy (no corrections) = -5.17 eV/atom
# raw formation energy = -636 meV per atom

(2)
# NiAgPd2 (PBE, optimized geometry)
data_NiAgPd2
_cell_length_a 6.2343
_cell_length_b 6.2343
_cell_length_c 6.2343
_cell_angle_alpha 90.00
_cell_angle_beta 90.00
_cell_angle_gamma 90.00
_symmetry_space_group_name_H-M 'F m -3 m'
_symmetry_Int_Tables_number 225
_symmetry_space_group_name_Hall '-F 4 2 3'
loop_
_atom_site_label
_atom_site_type_symbol
_atom_site_fract_x
_atom_site_fract_y
_atom_site_fract_z
Ni1 Ni 0.0000 0.0000 0.0000
Ag1 Ag 0.0000 0.0000 0.5000
Pd1 Pd 0.2500 0.2500 0.2500
# calculated density = 10.4 g/cm3
# E_form = 12 kJ/mol of atoms
# excess energy over the best structure of this formula in the dataset = 113.5 meV/atom
# total DFT energy (no corrections) = -4.63 eV/atom

(3)
# SrCuPb2Cl8 (PBE, optimized geometry)
data_SrCuPb2Cl8
_cell_length_a 6.5121
_cell_length_b 8.3717
_cell_length_c 6.8465
_cell_angle_alpha 90.00
_cell_angle_beta 94.23
_cell_angle_gamma 90.00
_symmetry_space_group_name_H-M 'P 1 2/m 1'
_symmetry_Int_Tables_number 10
loop_
_symmetry_equiv_pos_as_xyz
'x,y,z'
'-x,-y,-z'
'-x,y,-z'
'x,-y,z'
loop_
_atom_site_label
_atom_site_type_symbol
_atom_site_fract_x
_atom_site_fract_y
_atom_site_fract_z
Sr1 Sr 0.0000 0.0000 0.0000
Cu1 Cu 0.0000 0.5000 0.0000
Pb1 Pb 0.5000 0.2652 0.5000
Cl1 Cl 0.2001 0.2966 0.1545
Cl2 Cl 0.2714 0.5000 0.6706
Cl3 Cl 0.2805 0.0000 0.6913
# calculated density = 3.8 g/cm3
# total DFT energy (no corrections) = -3.60 eV/atom
# raw formation energy = -1264 meV per atom

(4)
# YTiCdAs2 (PBE, optimized geometry)
data_YTiCdAs2
_cell_length_a 4.8753
_cell_length_b 4.8753
_cell_length_c 5.5160
_cell_angle_alpha 90.00
_cell_angle_beta 90.00
_cell_angle_gamma 90.00
_symmetry_space_group_name_H-M 'P 4/m m m'
_symmetry_Int_Tables_number 123
_symmetry_space_group_name_Hall '-P 4 2'
loop_
_atom_site_label
_atom_site_type_symbol
_atom_site_fract_x
_atom_site_fract_y
_atom_site_fract_z
Y1 Y 0.0000 0.0000 0.0000
Ti1 Ti 0.0000 0.0000 0.5000
Cd1 Cd 0.5000 0.5000 0.0000
As1 As 0.0000 0.5000 0.5000
# calculated density = 5.1 g/cm3
# E_form = 5 kJ/mol of atoms
# total DFT energy (no corrections) = -4.87 eV/atom

(5)
# CaLa2MgF (PBE, optimized geometry)
data_CaLa2MgF
_cell_length_a 5.3430
_cell_length_b 5.3430
_cell_length_c 4.8181
_cell_angle_alpha 90.00
_cell_angle_beta 90.00
_cell_angle_gamma 90.00
_symmetry_space_group_name_H-M 'P 4/m m m'
_symmetry_Int_Tables_number 123
_symmetry_space_group_name_Hall '-P 4 2'
loop_
_atom_site_label
_atom_site_type_symbol
_atom_site_fract_x
_atom_site_fract_y
_atom_site_fract_z
Ca1 Ca 0.0000 0.0000 0.0000
La1 La 0.0000 0.5000 0.5000
Mg1 Mg 0.5000 0.5000 0.0000
F1 F 0.0000 0.0000 0.5000
# calculated density = 4.4 g/cm3
# total DFT energy (no corrections) = -4.06 eV/atom
# raw formation energy = -993 meV per atom

(6)
# HfZnPd4 (PBE, optimized geometry)
data_HfZnPd4
_cell_length_a 4.2524
_cell_length_b 4.2524
_cell_length_c 20.9718
_cell_angle_alpha 90.00
_cell_angle_beta 90.00
_cell_angle_gamma 120.00
_symmetry_space_group_name_H-M 'R -3 m'
_symmetry_Int_Tables_number 166
_symmetry_space_group_name_Hall '-R 3 2"'
loop_
_atom_site_label
_atom_site_type_symbol
_atom_site_fract_x
_atom_site_fract_y
_atom_site_fract_z
Hf1 Hf 0.0000 0.0000 0.0000
Zn1 Zn 0.0000 0.0000 0.5000
Pd1 Pd 0.0000 0.0000 0.1271
Pd2 Pd 0.0000 0.0000 0.3804
# calculated density = 10.2 g/cm3
# E_form = -37 kJ/mol of atoms
# total DFT energy (no corrections) = -5.72 eV/atom

(7)
# Cd2SiCl (PBE, optimized geometry)
data_Cd2SiCl
_cell_length_a 4.0769
_cell_length_b 5.6339
_cell_length_c 7.8721
_cell_angle_alpha 90.00
_cell_angle_beta 90.00
_cell_angle_gamma 90.00
_symmetry_space_group_name_H-M 'C m m m'
_symmetry_Int_Tables_number 65
_symmetry_space_group_name_Hall '-C 2 2'
loop_
_atom_site_label
_atom_site_type_symbol
_atom_site_fract_x
_atom_site_fract_y
_atom_site_fract_z
Cd1 Cd 0.0000 0.0000 0.2325
Si1 Si 0.0000 0.5000 0.0000
Cl1 Cl 0.0000 0.5000 0.5000
# calculated density = 5.3 g/cm3
# excess energy over the best structure of this formula in the dataset = 103.8 meV/atom
# total DFT energy (no corrections) = -2.25 eV/atom
# raw formation energy = 26 meV per atom

(8)
# NaHfSi3 (PBE, optimized geometry)
data_NaHfSi3
_cell_length_a 5.0949
_cell_length_b 5.0949
_cell_length_c 5.0949
_cell_angle_alpha 90.00
_cell_angle_beta 90.00
_cell_angle_gamma 90.00
_symmetry_space_group_name_H-M 'P m -3 m'
_symmetry_Int_Tables_number 221
_symmetry_space_group_name_Hall '-P 4 2 3'
loop_
_atom_site_label
_atom_site_type_symbol
_atom_site_fract_x
_atom_site_fract_y
_atom_site_fract_z
Na1 Na 0.0000 0.0000 0.0000
Hf1 Hf 0.5000 0.5000 0.5000
Si1 Si 0.0000 0.5000 0.5000
# calculated density = 3.6 g/cm3
# excess energy over the best structure of this formula in the dataset = 0.0 meV/atom
# total DFT energy (no corrections) = -5.06 eV/atom
# raw formation energy = 447 meV per atom

(9)
# HfTcBi3 (PBE, optimized geometry)
data_HfTcBi3
_cell_length_a 5.2980
_cell_length_b 5.2980
_cell_length_c 5.2980
_cell_angle_alpha 90.00
_cell_angle_beta 90.00
_cell_angle_gamma 90.00
_symmetry_space_group_name_H-M 'P m -3 m'
_symmetry_Int_Tables_number 221
_symmetry_space_group_name_Hall '-P 4 2 3'
loop_
_atom_site_label
_atom_site_type_symbol
_atom_site_fract_x
_atom_site_fract_y
_atom_site_fract_z
Hf1 Hf 0.0000 0.0000 0.0000
Tc1 Tc 0.5000 0.5000 0.5000
Bi1 Bi 0.0000 0.5000 0.5000
# calculated density = 10.1 g/cm3
# E_form = 93 kJ/mol of atoms
# excess energy over the best structure of this formula in the dataset = 0.0 meV/atom
# total DFT energy (no corrections) = -5.43 eV/atom

(10)
# AgPdRuF6 (PBE, optimized geometry)
data_AgPdRuF6
_cell_length_a 5.8909
_cell_length_b 5.8909
_cell_length_c 8.8531
_cell_angle_alpha 90.00
_cell_angle_beta 90.00
_cell_angle_gamma 120.00
_symmetry_space_group_name_H-M 'P -3 1 c'
_symmetry_Int_Tables_number 163
_symmetry_space_group_name_Hall '-P 3 2c'
loop_
_atom_site_label
_atom_site_type_symbol
_atom_site_fract_x
_atom_site_fract_y
_atom_site_fract_z
Ag1 Ag 0.3333 0.6667 0.2500
Pd1 Pd 0.0000 0.0000 0.0000
Ru1 Ru 0.3333 0.6667 0.7500
F1 F 0.0580 0.3833 0.6248
# calculated density = 5.4 g/cm3
# total DFT energy (no corrections) = -4.45 eV/atom
# raw formation energy = -1275 meV per atom